Record 1
## PrNd4Ga3 (PBE)

Data for a relaxed PrNd4Ga3 crystal.

The structure in extended XYZ format:
```
16
Lattice="5.7692 0.0000 2.0431 2.8846 8.5510 1.0215 0.0301 0.0000 9.0820" Properties=species:S:1:pos:R:3 pbc="T T T"
Ga 1.4423 0.0000 0.5108
Ga 2.3697 4.2755 2.4754
Ga 6.3141 4.2755 9.6712
Ga 4.3269 0.0000 1.5323
Ga 4.3419 7.0087 6.0733
Ga 4.3419 1.5423 6.0733
Nd 0.8900 1.0872 6.6540
Nd 3.2776 5.9752 9.0787
Nd 7.7939 7.4638 5.4926
Nd 6.6592 7.4638 8.6970
Nd 3.2776 2.5758 9.0787
Nd 5.4063 2.5758 3.0679
Nd 5.4063 5.9752 3.0679
Nd 2.0247 1.0872 3.4496
Pr 5.7842 4.2755 6.5841
Pr 2.8997 4.2755 5.5625
```

Formation energy from the elements, eV/atom: -0.437
Crystal system: tetragonal


Record 2
## VIn3Cl6 (PBE)

Data for a relaxed VIn3Cl6 crystal.

The structure in extended XYZ format:
```
20
Lattice="6.8972 0.0000 -0.3948 0.0000 8.1587 0.0000 -0.1474 0.0000 10.4031" Properties=species:S:1:pos:R:3 pbc="T T T"
Cl 4.1229 3.5481 7.2258
Cl 6.0018 7.6274 7.7866
Cl 2.2905 6.0596 5.8251
Cl 4.4593 2.0991 4.1832
Cl 2.6269 4.6107 2.7825
Cl 1.8762 6.9052 10.0263
Cl 0.9370 1.9802 9.5821
Cl 5.8128 6.1785 0.4262
Cl 1.3513 2.8258 5.3809
Cl 4.8736 1.2535 -0.0180
Cl 0.7480 0.5313 2.2217
Cl 5.3985 5.3329 4.6274
In 3.4486 4.0794 -0.1974
In 3.6400 7.5859 2.2074
In 6.6321 3.5065 2.4019
In 0.1177 4.6522 7.6063
In -0.0737 0.0000 5.2015
In 3.1098 0.5728 7.8009
V 3.3749 4.0794 5.0041
V 0.0000 0.0000 0.0000
```

Formation energy from raw total energies, eV/atom: -0.98
Crystal system: monoclinic


Record 3
## Nd4Sm5Mg2 (PBE)

Data for a relaxed Nd4Sm5Mg2 crystal.

The structure in extended XYZ format:
```
11
Lattice="-2.8564 1.8949 -0.7158 -4.8940 -7.3760 0.0030 -1.5142 2.0113 11.3670" Properties=species:S:1:pos:R:3 pbc="T T T"
Nd -3.4922 1.6412 9.7152
Nd -5.7633 -3.2337 5.8724
Nd -5.7724 -5.1110 0.9390
Nd -3.5014 -0.2361 4.7819
Mg -5.1954 -6.2477 4.1926
Mg -1.2129 0.8829 7.1774
Sm -3.2370 -3.6179 3.3394
Sm -5.1471 -4.1876 9.4534
Sm -3.1713 -1.7468 8.0307
Sm -1.2612 -1.1771 1.9166
Sm -2.4470 -3.6880 0.0015
```

Formation energy from the elements, eV/atom: 0.068
E above lowest polymorph, eV/f.u.: 0.15
Crystal system: monoclinic


Record 4
## ZrFeN2 (PBE)

Data for a relaxed ZrFeN2 crystal.

The structure in extended XYZ format:
```
16
Lattice="4.4122 0.0000 0.0000 0.0000 6.3553 0.0000 0.0000 0.0000 7.2257" Properties=species:S:1:pos:R:3 pbc="T T T"
N 3.3091 2.7545 6.3791
N 3.3091 5.8016 0.8751
N 1.1030 3.6008 0.8466
N 1.1030 0.5537 6.3506
N 1.1030 0.4231 2.7663
N 3.3091 2.6239 2.7378
N 1.1030 3.7314 4.4879
N 3.3091 5.9322 4.4594
Zr 1.1030 5.7144 0.9436
Zr 3.3091 0.6410 6.2821
Zr 1.1030 2.5367 2.6693
Zr 3.3091 3.8186 4.5564
Fe 3.3091 3.6689 0.9191
Fe 1.1030 5.8641 4.5319
Fe 3.3091 0.4913 2.6938
Fe 1.1030 2.6864 6.3066
```

Formation energy from raw total energies, eV/atom: -0.73
Crystal system: orthorhombic


Record 5
## MgAuCl2 (PBE)

Data for a relaxed MgAuCl2 crystal.

The structure in extended XYZ format:
```
4
Lattice="3.2900 0.0000 0.0000 0.0000 3.2900 0.0000 0.0000 0.0000 8.0333" Properties=species:S:1:pos:R:3 pbc="T T T"
Cl 1.6450 1.6450 2.6929
Cl 0.0000 0.0000 7.4684
Mg 0.0000 0.0000 4.0557
Au 1.6450 1.6450 5.8662
```

Formation energy from raw total energies, eV/atom: -0.63
E above lowest polymorph, eV/f.u.: 1.44
Crystal system: tetragonal


Record 6
## CaBe2Zn2 (PBE)

Data for a relaxed CaBe2Zn2 crystal.

The structure in extended XYZ format:
```
10
Lattice="-6.4022 -1.5048 3.6248 2.0158 -7.2116 0.5665 1.1539 0.4989 2.2451" Properties=species:S:1:pos:R:3 pbc="T T T"
Zn -3.7792 -1.9011 2.3648
Zn -0.6072 -6.8152 1.8265
Zn -0.1015 -2.8537 0.6863
Zn -4.2849 -5.8627 3.5050
Be 0.8878 -4.7414 2.0719
Be -1.9460 -6.8077 3.9875
Be -4.1203 -3.4760 4.3646
Be -1.2865 -1.4098 2.4490
Ca -2.1932 -4.3582 2.0957
Ca 0.0000 0.0000 0.0000
```

Formation energy from the elements, eV/atom: 0.216
E above lowest polymorph, eV/f.u.: 0.91
Crystal system: tetragonal


Record 7
## Dy3Cd2Ni (PBE)

Data for a relaxed Dy3Cd2Ni crystal.

The structure in extended XYZ format:
```
12
Lattice="-1.0675 -1.8793 4.7043 3.3378 -6.2171 -1.7263 7.4965 3.9131 0.4157" Properties=species:S:1:pos:R:3 pbc="T T T"
Cd 4.7191 -4.4260 2.1514
Cd 3.0502 -1.3174 3.0144
Cd 5.0477 0.2426 1.2423
Cd 6.7166 -2.8660 0.3792
Ni 1.4360 -6.5419 3.4089
Ni 0.8343 -1.5545 -0.4310
Dy 7.9323 -4.9657 2.6648
Dy 1.9697 -5.6023 1.0568
Dy 0.3006 -2.4942 1.9212
Dy 1.8345 0.7823 0.7288
Dy 6.2634 -1.8572 3.5280
Dy 3.5034 -2.3262 -0.1343
```

Formation energy from the elements, eV/atom: -0.267
Crystal system: orthorhombic


Record 8
## MgGa2Pd5 (PBE)

Data for a relaxed MgGa2Pd5 crystal.

The structure in extended XYZ format:
```
8
Lattice="5.0355 0.5965 -2.0765 -2.0577 4.6338 -2.0780 -0.3427 -0.6002 5.4357" Properties=species:S:1:pos:R:3 pbc="T T T"
Mg 1.9719 3.4686 2.2044
Ga 3.1725 1.4514 0.5243
Ga -0.3735 3.4711 0.5254
Pd 0.6554 1.1537 1.5632
Pd -0.5453 3.1672 3.2444
Pd 2.1444 3.7690 -0.5139
Pd 3.0048 1.1539 3.2406
Pd 0.8313 1.4516 -1.1546
```

Formation energy from the elements, eV/atom: -0.600
Crystal system: orthorhombic